No. 1
A plane-wave DFT calculation with PBE was carried out for a relaxed P3SeN crystal.

Values from the calculation:
The relative energy among the computed polymorphs is 2140.3 meV/atom. For the total energy, the calculation gives -3.368 eV/atom.

abc: 4.8323 4.8323 4.8323
angles: 90.00 90.00 90.00
Fractional coordinates of all 5 atoms:
N1 0.5000 0.5000 0.5000
Se1 0.0000 0.0000 0.0000
P1 0.0000 0.5000 0.0000
P2 0.5000 0.0000 0.0000
P3 0.0000 0.0000 0.5000

No. 2
A plane-wave DFT calculation with PBE was carried out for a relaxed P3SeN crystal.

Values from the calculation:
The relative energy among the computed polymorphs is 73.3 meV/atom. For the total energy, the calculation gives -5.435 eV/atom.

abc: 3.6034 5.0175 5.6966
angles: 66.44 82.50 82.88
Fractional coordinates of all 5 atoms:
N1 0.9403 0.5388 0.6183
Se1 0.9181 0.2327 0.2271
P1 0.4671 0.9200 0.8506
P2 0.9331 0.2142 0.8301
P3 0.6072 0.8019 0.4934